# PBE with a Hubbard U BaNaGdWO6, relaxed
data_BaNaGdWO6
_space_group_name_H-M_alt 'P 1'
_space_group_IT_number 1
_cell_length_a 5.9877
_cell_length_b 5.9877
_cell_length_c 5.9877
_cell_angle_alpha 60.00
_cell_angle_beta 60.00
_cell_angle_gamma 60.00
loop_
_space_group_symop_operation_xyz
'x,y,z'
loop_
_atom_site_label
_atom_site_type_symbol
_atom_site_fract_x
_atom_site_fract_y
_atom_site_fract_z
O1 O 0.7310 0.2690 0.7310
O2 O 0.7310 0.2690 0.2690
O3 O 0.2690 0.2690 0.7310
O4 O 0.2690 0.7310 0.7310
O5 O 0.2690 0.7310 0.2690
O6 O 0.7310 0.7310 0.2690
W1 W 0.5000 0.5000 0.5000
Na1 Na 0.7500 0.7500 0.7500
Ba1 Ba 0.2500 0.2500 0.2500
Gd1 Gd 0.0000 0.0000 0.0000
# * magnetic moment: 7.0 μB/f.u.
# * E_tot: -80.31 eV per formula unit